{"formula": "CeSm10Y6", "functional": "PBE-GGA", "state": "optimized geometry", "dft_energy_ev_per_atom": -5.25, "total_magnetization_mub_per_atom": 0.05, "space_group": "P-31m, No. 162", "volume_a3_per_atom": 33.8, "lattice": [[9.8049, 0.0000, 0.0000], [-4.9024, 8.4913, 0.0000], [0.0000, 0.0000, 6.9015]], "species": ["Ce", "Sm", "Sm", "Sm", "Sm", "Sm", "Sm", "Sm", "Sm", "Sm", "Sm", "Y", "Y", "Y", "Y", "Y", "Y"], "fractional_positions": [[0.0000, 0.0000, 0.0000], [0.0000, 0.2726, 0.3159], [0.0000, 0.7274, 0.6841], [0.2726, 0.0000, 0.3159], [0.2726, 0.2726, 0.6841], [0.3333, 0.6667, 0.0000], [0.3333, 0.6667, 0.5000], [0.6667, 0.3333, 0.0000], [0.6667, 0.3333, 0.5000], [0.7274, 0.0000, 0.6841], [0.7274, 0.7274, 0.3159], [0.0000, 0.3732, 0.8057], [0.0000, 0.6268, 0.1943], [0.3732, 0.0000, 0.8057], [0.3732, 0.3732, 0.1943], [0.6268, 0.0000, 0.1943], [0.6268, 0.6268, 0.8057]]}



{"formula": "CeSm7Y4", "functional": "PBE-GGA", "state": "optimized geometry", "dft_energy_ev_per_atom": -5.33, "total_magnetization_mub_per_atom": 0.14, "space_group": "Amm2, No. 38", "volume_a3_per_atom": 33.0, "lattice": [[5.6755, 0.0000, 0.0000], [0.0000, 3.5459, 9.8513], [0.0000, -3.5459, 9.8513]], "species": ["Ce", "Sm", "Sm", "Sm", "Sm", "Sm", "Sm", "Sm", "Y", "Y", "Y", "Y"], "fractional_positions": [[0.0000, 0.0000, 0.0000], [0.0000, 0.1654, 0.1654], [0.0000, 0.5044, 0.5044], [0.0000, 0.6708, 0.6708], [0.5000, 0.2488, 0.2488], [0.5000, 0.4161, 0.4161], [0.5000, 0.7601, 0.7601], [0.5000, 0.9259, 0.9259], [0.0000, 0.0854, 0.5857], [0.0000, 0.5857, 0.0854], [0.5000, 0.3364, 0.8384], [0.5000, 0.8384, 0.3364]]}



{"formula": "CeSm12Y7", "functional": "PBE-GGA", "state": "optimized geometry", "dft_energy_ev_per_atom": -5.28, "total_magnetization_mub_per_atom": 0.21, "space_group": "R-3m, No. 166", "volume_a3_per_atom": 33.5, "lattice": [[6.7145, 3.8766, 4.2924], [-6.7145, 3.8766, 4.2924], [0.0000, -7.7533, 4.2924]], "species": ["Ce", "Sm", "Sm", "Sm", "Sm", "Sm", "Sm", "Sm", "Sm", "Sm", "Sm", "Sm", "Sm", "Y", "Y", "Y", "Y", "Y", "Y", "Y"], "fractional_positions": [[0.0000, 0.0000, 0.0000], [0.0878, 0.3565, 0.3565], [0.2388, 0.5000, 0.7612], [0.2388, 0.7612, 0.5000], [0.3565, 0.0878, 0.3565], [0.3565, 0.3565, 0.0878], [0.5000, 0.2388, 0.7612], [0.5000, 0.7612, 0.2388], [0.6435, 0.6435, 0.9122], [0.6435, 0.9122, 0.6435], [0.7612, 0.2388, 0.5000], [0.7612, 0.5000, 0.2388], [0.9122, 0.6435, 0.6435], [0.0998, 0.0998, 0.6628], [0.0998, 0.6628, 0.0998], [0.3372, 0.9002, 0.9002], [0.5000, 0.5000, 0.5000], [0.6628, 0.0998, 0.0998], [0.9002, 0.3372, 0.9002], [0.9002, 0.9002, 0.3372]]}



{"formula": "CeSm6Y8", "functional": "PBE-GGA", "state": "optimized geometry", "dft_energy_ev_per_atom": -5.61, "total_magnetization_mub_per_atom": 0.09, "space_group": "R-3, No. 148", "volume_a3_per_atom": 33.3, "lattice": [[4.5541, 2.6293, 6.9570], [-4.5541, 2.6293, 6.9570], [0.0000, -5.2586, 6.9570]], "species": ["Ce", "Sm", "Sm", "Sm", "Sm", "Sm", "Sm", "Y", "Y", "Y", "Y", "Y", "Y", "Y", "Y"], "fractional_positions": [[0.0000, 0.0000, 0.0000], [0.1045, 0.2281, 0.5402], [0.2281, 0.5402, 0.1045], [0.4598, 0.8955, 0.7719], [0.5402, 0.1045, 0.2281], [0.7719, 0.4598, 0.8955], [0.8955, 0.7719, 0.4598], [0.1121, 0.7538, 0.7153], [0.2462, 0.2847, 0.8879], [0.2847, 0.8879, 0.2462], [0.4226, 0.4226, 0.4226], [0.5774, 0.5774, 0.5774], [0.7153, 0.1121, 0.7538], [0.7538, 0.7153, 0.1121], [0.8879, 0.2462, 0.2847]]}



{"formula": "CeSmY2", "functional": "PBE-GGA", "state": "optimized geometry", "dft_energy_ev_per_atom": -5.83, "total_magnetization_mub_per_atom": 0.19, "relative_energy_mev_per_atom": 15, "space_group": "P4/mmm, No. 123", "volume_a3_per_atom": 32.1, "lattice": [[3.5617, 0.0000, 0.0000], [0.0000, 3.5617, 0.0000], [0.0000, 0.0000, 10.1157]], "species": ["Ce", "Sm", "Y", "Y"], "fractional_positions": [[0.0000, 0.0000, 0.0000], [0.0000, 0.0000, 0.5000], [0.5000, 0.5000, 0.2434], [0.5000, 0.5000, 0.7566]]}



{"formula": "CeSm12Y2", "functional": "PBE-GGA", "state": "optimized geometry", "dft_energy_ev_per_atom": -4.86, "total_magnetization_mub_per_atom": 0.10, "space_group": "Cmme, No. 67", "volume_a3_per_atom": 34.0, "lattice": [[3.5631, -5.7625, 0.0000], [3.5631, 5.7625, 0.0000], [0.0000, 0.0000, 24.8303]], "species": ["Ce", "Ce", "Sm", "Sm", "Sm", "Sm", "Sm", "Sm", "Sm", "Sm", "Sm", "Sm", "Sm", "Sm", "Sm", "Sm", "Sm", "Sm", "Sm", "Sm", "Sm", "Sm", "Sm", "Sm", "Sm", "Sm", "Y", "Y", "Y", "Y"], "fractional_positions": [[0.2500, 0.7500, 0.9989], [0.7500, 0.2500, 0.0011], [0.0015, 0.5015, 0.8718], [0.0030, 0.9970, 0.0737], [0.0174, 0.5174, 0.4141], [0.0225, 0.9775, 0.5603], [0.2500, 0.2500, 0.1986], [0.2500, 0.2500, 0.3252], [0.2500, 0.2500, 0.6748], [0.2500, 0.2500, 0.8014], [0.4775, 0.5225, 0.5603], [0.4826, 0.9826, 0.4141], [0.4970, 0.5030, 0.0737], [0.4985, 0.9985, 0.8718], [0.5015, 0.0015, 0.1282], [0.5030, 0.4970, 0.9263], [0.5174, 0.0174, 0.5859], [0.5225, 0.4775, 0.4397], [0.7500, 0.7500, 0.1986], [0.7500, 0.7500, 0.3252], [0.7500, 0.7500, 0.6748], [0.7500, 0.7500, 0.8014], [0.9775, 0.0225, 0.4397], [0.9826, 0.4826, 0.5859], [0.9970, 0.0030, 0.9263], [0.9985, 0.4985, 0.1282], [0.2500, 0.7500, 0.2657], [0.2500, 0.7500, 0.7299], [0.7500, 0.2500, 0.2701], [0.7500, 0.2500, 0.7343]]}



{"formula": "CeSm7Y2", "functional": "PBE-GGA", "state": "optimized geometry", "dft_energy_ev_per_atom": -4.76, "total_magnetization_mub_per_atom": 0.08, "space_group": "Cmmm, No. 65", "volume_a3_per_atom": 35.6, "lattice": [[6.0476, -8.4511, 0.0000], [6.0476, 8.4511, 0.0000], [0.0000, 0.0000, 3.4791]], "species": ["Ce", "Sm", "Sm", "Sm", "Sm", "Sm", "Sm", "Sm", "Y", "Y"], "fractional_positions": [[0.0000, 0.0000, 0.0000], [0.1274, 0.3865, 0.5000], [0.3255, 0.6745, 0.0000], [0.3865, 0.1274, 0.5000], [0.5000, 0.5000, 0.5000], [0.6135, 0.8726, 0.5000], [0.6745, 0.3255, 0.0000], [0.8726, 0.6135, 0.5000], [0.1659, 0.8341, 0.5000], [0.8341, 0.1659, 0.5000]]}



{"formula": "Ce2SmY", "functional": "PBE-GGA", "state": "optimized geometry", "dft_energy_ev_per_atom": -5.51, "total_magnetization_mub_per_atom": 0.57, "relative_energy_mev_per_atom": 154, "space_group": "Fm-3m, No. 225", "volume_a3_per_atom": 32.5, "lattice": [[0.0000, 4.0195, 4.0195], [4.0195, 0.0000, 4.0195], [4.0195, 4.0195, 0.0000]], "species": ["Ce", "Ce", "Sm", "Y"], "fractional_positions": [[0.2500, 0.2500, 0.2500], [0.7500, 0.7500, 0.7500], [0.0000, 0.0000, 0.0000], [0.5000, 0.5000, 0.5000]]}



{"formula": "CeSmY", "functional": "PBE-GGA", "state": "optimized geometry", "dft_energy_ev_per_atom": -5.56, "total_magnetization_mub_per_atom": 0.29, "relative_energy_mev_per_atom": 76, "space_group": "P2_1/c, No. 14", "volume_a3_per_atom": 32.0, "lattice": [[6.4096, 0.0000, 0.0000], [0.0000, 10.5706, 0.0000], [-3.3433, 0.0000, 5.6710]], "species": ["Ce", "Ce", "Ce", "Ce", "Sm", "Sm", "Sm", "Sm", "Y", "Y", "Y", "Y"], "fractional_positions": [[0.1907, 0.2472, 0.0997], [0.1907, 0.2528, 0.5997], [0.8093, 0.7472, 0.4003], [0.8093, 0.7528, 0.9003], [0.3173, 0.6306, 0.9013], [0.3173, 0.8694, 0.4013], [0.6827, 0.1306, 0.5987], [0.6827, 0.3694, 0.0987], [0.2075, 0.5450, 0.3454], [0.2075, 0.9550, 0.8454], [0.7925, 0.0450, 0.1546], [0.7925, 0.4550, 0.6546]]}



{"formula": "CeSm4Y2", "functional": "PBE-GGA", "state": "optimized geometry", "dft_energy_ev_per_atom": -5.35, "total_magnetization_mub_per_atom": 0.20, "relative_energy_mev_per_atom": 0, "space_group": "Cm, No. 8", "volume_a3_per_atom": 33.0, "lattice": [[3.1303, -1.8072, 0.0000], [3.1303, 1.8072, 0.0000], [-0.0030, 0.0000, 20.4296]], "species": ["Ce", "Sm", "Sm", "Sm", "Sm", "Y", "Y"], "fractional_positions": [[0.0000, 0.0000, 0.0000], [0.3342, 0.3342, 0.4277], [0.3347, 0.3347, 0.7118], [0.6667, 0.6667, 0.1414], [0.6677, 0.6677, 0.8566], [0.0004, 0.0004, 0.2848], [0.0014, 0.0014, 0.5700]]}



{"formula": "CeSm2Y", "functional": "PBE-GGA", "state": "optimized geometry", "dft_energy_ev_per_atom": -5.40, "total_magnetization_mub_per_atom": 0.19, "relative_energy_mev_per_atom": 1, "space_group": "R3m, No. 160", "volume_a3_per_atom": 32.5, "lattice": [[1.7921, 1.0347, 11.6763], [-1.7921, 1.0347, 11.6763], [0.0000, -2.0693, 11.6763]], "species": ["Ce", "Sm", "Sm", "Y"], "fractional_positions": [[0.0000, 0.0000, 0.0000], [0.5833, 0.5833, 0.5833], [0.7492, 0.7492, 0.7492], [0.1662, 0.1662, 0.1662]]}



{"formula": "Ce2SmY", "functional": "PBE-GGA", "state": "optimized geometry", "dft_energy_ev_per_atom": -5.65, "total_magnetization_mub_per_atom": 0.35, "relative_energy_mev_per_atom": 5, "space_group": "R3m, No. 160", "volume_a3_per_atom": 31.1, "lattice": [[1.7578, 1.0149, 11.6329], [-1.7578, 1.0149, 11.6329], [0.0000, -2.0297, 11.6329]], "species": ["Ce", "Ce", "Sm", "Y"], "fractional_positions": [[0.0000, 0.0000, 0.0000], [0.1671, 0.1671, 0.1671], [0.7515, 0.7515, 0.7515], [0.5824, 0.5824, 0.5824]]}



{"formula": "CeSm7Y12", "functional": "PBE-GGA", "state": "optimized geometry", "dft_energy_ev_per_atom": -5.16, "total_magnetization_mub_per_atom": 0.08, "relative_energy_mev_per_atom": 436, "space_group": "Im-3m, No. 229", "volume_a3_per_atom": 36.6, "lattice": [[-5.6775, 5.6775, 5.6775], [5.6775, -5.6775, 5.6775], [5.6775, 5.6775, -5.6775]], "species": ["Ce", "Sm", "Sm", "Sm", "Sm", "Sm", "Sm", "Sm", "Y", "Y", "Y", "Y", "Y", "Y", "Y", "Y", "Y", "Y", "Y", "Y"], "fractional_positions": [[0.0000, 0.0000, 0.0000], [0.0000, 0.0000, 0.5000], [0.0000, 0.5000, 0.0000], [0.0000, 0.5000, 0.5000], [0.5000, 0.0000, 0.0000], [0.5000, 0.0000, 0.5000], [0.5000, 0.5000, 0.0000], [0.5000, 0.5000, 0.5000], [0.0000, 0.2518, 0.7482], [0.0000, 0.7482, 0.2518], [0.2518, 0.0000, 0.7482], [0.2518, 0.2518, 0.5037], [0.2518, 0.5037, 0.2518], [0.2518, 0.7482, 0.0000], [0.4963, 0.7482, 0.7482], [0.5037, 0.2518, 0.2518], [0.7482, 0.0000, 0.2518], [0.7482, 0.2518, 0.0000], [0.7482, 0.4963, 0.7482], [0.7482, 0.7482, 0.4963]]}



{"formula": "Ce2SmY", "functional": "PBE-GGA", "state": "optimized geometry", "dft_energy_ev_per_atom": -5.64, "total_magnetization_mub_per_atom": 0.40, "relative_energy_mev_per_atom": 18, "space_group": "P4/mmm, No. 123", "volume_a3_per_atom": 31.2, "lattice": [[3.4849, 0.0000, 0.0000], [0.0000, 3.4849, 0.0000], [0.0000, 0.0000, 10.2736]], "species": ["Ce", "Ce", "Sm", "Y"], "fractional_positions": [[0.0000, 0.0000, 0.2500], [0.0000, 0.0000, 0.7500], [0.5000, 0.5000, 0.0000], [0.5000, 0.5000, 0.5000]]}



{"formula": "CeSm3Y4", "functional": "PBE-GGA", "state": "optimized geometry", "dft_energy_ev_per_atom": -5.48, "total_magnetization_mub_per_atom": 0.11, "space_group": "C2/m, No. 12", "volume_a3_per_atom": 33.3, "lattice": [[12.6034, -1.7241, 0.0000], [12.6034, 1.7241, 0.0000], [-0.6371, 0.0000, 6.1304]], "species": ["Ce", "Sm", "Sm", "Sm", "Y", "Y", "Y", "Y"], "fractional_positions": [[0.0000, 0.0000, 0.0000], [0.3569, 0.3569, 0.2398], [0.5000, 0.5000, 0.5000], [0.6431, 0.6431, 0.7602], [0.2223, 0.2223, 0.2352], [0.3940, 0.3940, 0.7589], [0.6060, 0.6060, 0.2411], [0.7777, 0.7777, 0.7648]]}



{"formula": "CeSm2Y", "functional": "PBE-GGA", "state": "optimized geometry", "dft_energy_ev_per_atom": -5.38, "total_magnetization_mub_per_atom": 0.17, "relative_energy_mev_per_atom": 15, "space_group": "P4/mmm, No. 123", "volume_a3_per_atom": 32.6, "lattice": [[5.0733, 0.0000, 0.0000], [0.0000, 5.0733, 0.0000], [0.0000, 0.0000, 5.0646]], "species": ["Ce", "Sm", "Sm", "Y"], "fractional_positions": [[0.0000, 0.0000, 0.0000], [0.0000, 0.5000, 0.5000], [0.5000, 0.0000, 0.5000], [0.5000, 0.5000, 0.0000]]}



{"formula": "CeSm4Y2", "functional": "PBE-GGA", "state": "optimized geometry", "dft_energy_ev_per_atom": -5.07, "total_magnetization_mub_per_atom": 0.36, "relative_energy_mev_per_atom": 275, "space_group": "Cmmm, No. 65", "volume_a3_per_atom": 33.5, "lattice": [[1.7184, -20.1941, 0.0000], [1.7184, 20.1941, 0.0000], [0.0000, 0.0000, 3.3828]], "species": ["Ce", "Sm", "Sm", "Sm", "Sm", "Y", "Y"], "fractional_positions": [[0.0000, 0.0000, 0.0000], [0.1387, 0.8613, 0.5000], [0.4276, 0.5724, 0.0000], [0.5724, 0.4276, 0.0000], [0.8613, 0.1387, 0.5000], [0.2863, 0.7137, 0.5000], [0.7137, 0.2863, 0.5000]]}



{"formula": "CeSmY4", "functional": "PBE-GGA", "state": "optimized geometry", "dft_energy_ev_per_atom": -6.06, "total_magnetization_mub_per_atom": 0.14, "space_group": "C2/m, No. 12", "volume_a3_per_atom": 32.3, "lattice": [[8.6796, -1.7992, 0.0000], [8.6796, 1.7992, 0.0000], [-0.7516, 0.0000, 6.2092]], "species": ["Ce", "Sm", "Y", "Y", "Y", "Y"], "fractional_positions": [[0.0000, 0.0000, 0.0000], [0.5000, 0.5000, 0.5000], [0.1671, 0.1671, 0.3860], [0.3341, 0.3341, 0.1097], [0.6659, 0.6659, 0.8903], [0.8329, 0.8329, 0.6140]]}



{"formula": "CeSm6Y5", "functional": "PBE-GGA", "state": "optimized geometry", "dft_energy_ev_per_atom": -5.51, "total_magnetization_mub_per_atom": 0.09, "space_group": "C2/m, No. 12", "volume_a3_per_atom": 33.0, "lattice": [[8.8189, -3.6013, 0.0000], [8.8189, 3.6013, 0.0000], [-0.0201, 0.0000, 6.2312]], "species": ["Ce", "Sm", "Sm", "Sm", "Sm", "Sm", "Sm", "Y", "Y", "Y", "Y", "Y"], "fractional_positions": [[0.0000, 0.0000, 0.0000], [0.0821, 0.5869, 0.8349], [0.2455, 0.7545, 0.5000], [0.4131, 0.9179, 0.1651], [0.5869, 0.0821, 0.8349], [0.7545, 0.2455, 0.5000], [0.9179, 0.4131, 0.1651], [0.1667, 0.1667, 0.6691], [0.3326, 0.3326, 0.3338], [0.5000, 0.5000, 0.0000], [0.6674, 0.6674, 0.6662], [0.8333, 0.8333, 0.3309]]}



{"formula": "Ce2SmY", "functional": "PBE-GGA", "state": "optimized geometry", "dft_energy_ev_per_atom": -5.66, "total_magnetization_mub_per_atom": 0.41, "relative_energy_mev_per_atom": 0, "space_group": "R-3m, No. 166", "volume_a3_per_atom": 31.0, "lattice": [[1.7557, 1.0137, 11.6301], [-1.7557, 1.0137, 11.6301], [0.0000, -2.0273, 11.6301]], "species": ["Ce", "Ce", "Sm", "Y"], "fractional_positions": [[0.2503, 0.2503, 0.2503], [0.7497, 0.7497, 0.7497], [0.5000, 0.5000, 0.5000], [0.0000, 0.0000, 0.0000]]}



{"formula": "CeSmY", "functional": "PBE-GGA", "state": "optimized geometry", "dft_energy_ev_per_atom": -5.63, "total_magnetization_mub_per_atom": 0.20, "relative_energy_mev_per_atom": 0, "space_group": "P3m1, No. 156", "volume_a3_per_atom": 31.7, "lattice": [[3.5487, 0.0000, 0.0000], [-1.7743, 3.0733, 0.0000], [0.0000, 0.0000, 8.7298]], "species": ["Ce", "Sm", "Y"], "fractional_positions": [[0.0000, 0.0000, 0.0000], [0.6667, 0.3333, 0.3283], [0.3333, 0.6667, 0.6729]]}



{"formula": "CeSm6Y10", "functional": "PBE-GGA", "state": "optimized geometry", "dft_energy_ev_per_atom": -5.68, "total_magnetization_mub_per_atom": 0.08, "space_group": "P-31m, No. 162", "volume_a3_per_atom": 33.4, "lattice": [[9.7193, 0.0000, 0.0000], [-4.8596, 8.4171, 0.0000], [0.0000, 0.0000, 6.9308]], "species": ["Ce", "Sm", "Sm", "Sm", "Sm", "Sm", "Sm", "Y", "Y", "Y", "Y", "Y", "Y", "Y", "Y", "Y", "Y"], "fractional_positions": [[0.0000, 0.0000, 0.0000], [0.0000, 0.3794, 0.2004], [0.0000, 0.6206, 0.7996], [0.3794, 0.0000, 0.2004], [0.3794, 0.3794, 0.7996], [0.6206, 0.0000, 0.7996], [0.6206, 0.6206, 0.2004], [0.0000, 0.2716, 0.6845], [0.0000, 0.7284, 0.3155], [0.2716, 0.0000, 0.6845], [0.2716, 0.2716, 0.3155], [0.3333, 0.6667, 0.0000], [0.3333, 0.6667, 0.5000], [0.6667, 0.3333, 0.0000], [0.6667, 0.3333, 0.5000], [0.7284, 0.0000, 0.3155], [0.7284, 0.7284, 0.6845]]}